# 1
{
  "formula": "La11Tl9Ni4",
  "functional": "PBE",
  "state": "relaxed",
  "sg": "No. 65",
  "lattice": [[7.641, -11.439, 0.000], [7.641, 11.439, 0.000], [0.000, 0.000, 3.856]],
  "species": ["La", "La", "La", "La", "La", "La", "La", "La", "La", "La", "La", "Tl", "Tl", "Tl", "Tl", "Tl", "Tl", "Tl", "Tl", "Tl", "Ni", "Ni", "Ni", "Ni"],
  "frac_coords": [[0.000, 0.000, 0.000], [0.085, 0.419, 0.000], [0.161, 0.839, 0.000], [0.313, 0.313, 0.000], [0.374, 0.626, 0.000], [0.419, 0.085, 0.000], [0.581, 0.915, 0.000], [0.626, 0.374, 0.000], [0.687, 0.687, 0.000], [0.839, 0.161, 0.000], [0.915, 0.581, 0.000], [0.078, 0.219, 0.500], [0.159, 0.634, 0.500], [0.219, 0.078, 0.500], [0.366, 0.841, 0.500], [0.500, 0.500, 0.500], [0.634, 0.159, 0.500], [0.781, 0.922, 0.500], [0.841, 0.366, 0.500], [0.922, 0.781, 0.500], [0.247, 0.448, 0.500], [0.448, 0.247, 0.500], [0.552, 0.753, 0.500], [0.753, 0.552, 0.500]]
}


# 2
{
  "formula": "La8TlNi2",
  "functional": "PBE",
  "state": "relaxed",
  "sg": "No. 12",
  "lattice": [[4.397, -7.084, 0.000], [4.397, 7.084, 0.000], [-1.465, 0.000, 5.500]],
  "species": ["La", "La", "La", "La", "La", "La", "La", "La", "Tl", "Ni", "Ni"],
  "frac_coords": [[0.097, 0.097, 0.799], [0.168, 0.416, 0.442], [0.250, 0.750, 0.000], [0.416, 0.168, 0.442], [0.584, 0.832, 0.558], [0.750, 0.250, 0.000], [0.832, 0.584, 0.558], [0.903, 0.903, 0.201], [0.500, 0.500, 0.000], [0.210, 0.790, 0.500], [0.790, 0.210, 0.500]]
}


# 3
{
  "formula": "LaTlNi2",
  "functional": "PBE",
  "state": "relaxed",
  "sg": "No. 10",
  "lattice": [[3.450, 0.000, 0.000], [0.000, 3.455, 0.000], [-0.021, 0.000, 6.623]],
  "species": ["La", "Tl", "Ni", "Ni"],
  "frac_coords": [[0.000, 0.000, 0.000], [0.000, 0.000, 0.500], [0.499, 0.500, 0.293], [0.501, 0.500, 0.707]]
}


# 4
{
  "formula": "La2TlNi",
  "functional": "PBE",
  "state": "relaxed",
  "sg": "No. 122",
  "lattice": [[-4.124, 4.124, 3.334], [4.124, -4.124, 3.334], [4.124, 4.124, -3.334]],
  "species": ["La", "La", "La", "La", "Tl", "Tl", "Ni", "Ni"],
  "frac_coords": [[0.063, 0.625, 0.938], [0.375, 0.313, 0.438], [0.687, 0.125, 0.062], [0.875, 0.937, 0.562], [0.250, 0.750, 0.500], [0.500, 0.500, 0.000], [0.000, 0.000, 0.000], [0.750, 0.250, 0.500]]
}


| no. | DFT formation energy (meV/atom) | V (Å³/atom) | E_tot (eV/atom) |
| --- | --- | --- | --- |
| 1 | -425.7 | 28.09 | -4.54 |
| 2 | -141.6 | 31.14 | -4.99 |
| 3 | 11.4 | 19.74 | -4.70 |
| 4 | -143.6 | 28.36 | -4.64 |